1.
{
  "formula": "FeTeWI2",
  "functional": "PBE",
  "state": "relaxed",
  "cell": [[4.961, 0.000, 0.000], [0.000, 4.961, 0.000], [0.000, 0.000, 4.961]],
  "species": ["Fe", "Te", "W", "I", "I"],
  "fractional_positions": [[0.000, 0.000, 0.000], [0.000, 0.000, 0.500], [0.500, 0.500, 0.500], [0.000, 0.500, 0.000], [0.500, 0.000, 0.000]],
  "e_tot_ev_per_atom": -3.9247,
  "e_above_lowest_polymorph_mev_per_atom": 432,
  "density_g_cm3": 8.4,
  "vol_a3_per_cell": 122.1
}

---

2.
{
  "formula": "ZrFeTe2I",
  "functional": "PBE",
  "state": "relaxed",
  "cell": [[5.610, 0.000, 0.000], [0.000, 5.610, 0.000], [0.000, 0.000, 5.783]],
  "species": ["Zr", "Fe", "Te", "Te", "I"],
  "fractional_positions": [[0.000, 0.000, 0.000], [0.500, 0.500, 0.500], [0.000, 0.500, 0.000], [0.500, 0.000, 0.000], [0.000, 0.000, 0.500]],
  "e_tot_ev_per_atom": -4.5708,
  "e_above_lowest_polymorph_mev_per_atom": 0,
  "density_g_cm3": 4.8,
  "vol_a3_per_cell": 182.0
}